Model 1:
Here is crystalline Cs2SbPd2 at its relaxed geometry from Alexandria. Energies are from PBE.

Geometry as POSCAR:
```
Cs2SbPd2
1.0
4.515 0.000 1.296
2.072 4.012 1.296
-0.910 -0.554 11.682
Cs Pd Sb
2 2 1
Cartesian
3.576 2.178 4.568 Cs
2.101 1.280 9.706 Cs
2.083 1.269 1.255 Pd
3.593 2.189 13.020 Pd
0.000 0.000 0.000 Sb
```

Results
Calculated volume = 43.621 A^3/atom
N(E_F) = 3.4 states/eV per cell



Model 2:
Here is crystalline Cs2SbPd2 at its relaxed geometry from Alexandria. Energies are from PBE.

Geometry as POSCAR:
```
Cs2SbPd2
1.0
-5.444 -4.536 0.768
0.388 -1.638 -6.925
3.878 -4.440 1.267
Pd Sb Cs
4 2 4
Cartesian
-4.441 -4.953 -3.762 Pd
-0.615 -1.221 -2.396 Pd
-3.423 -3.124 -0.470 Pd
-1.633 -3.049 -5.687 Pd
0.000 0.000 0.000 Sb
-2.528 -3.087 -3.079 Sb
-2.398 -6.460 -0.950 Cs
0.270 -3.965 -0.371 Cs
1.220 -4.153 -3.940 Cs
-1.448 -6.649 -4.519 Cs
```

Results
Calculated volume = 30.627 A^3/atom
N(E_F) = 6.2 states/eV per cell



Unit: kJ/mol of atoms. Relative energies: model 1 0.0; model 2 23.5.



Model 1:
Here is crystalline CsSbPd3 at its relaxed geometry from Alexandria. Energies are from PBE.

Geometry as POSCAR:
```
CsSbPd3
1.0
4.171 0.000 0.000
0.000 6.960 0.000
0.000 0.000 8.568
Pd Cs Sb
6 2 2
Cartesian
1.043 1.740 7.255 Pd
3.128 5.220 1.314 Pd
3.128 3.720 7.260 Pd
1.043 3.240 1.308 Pd
1.043 0.240 1.308 Pd
3.128 6.719 7.260 Pd
1.043 5.220 4.344 Cs
3.128 1.740 4.224 Cs
1.043 5.220 8.056 Sb
3.128 1.740 0.512 Sb
```

Results
Calculated volume = 24.872 A^3/atom
N(E_F) = 4.9 states/eV per cell



Model 2:
Here is crystalline CsSbPd3 at its relaxed geometry from Alexandria. Energies are from PBE.

Geometry as POSCAR:
```
CsSbPd3
1.0
5.243 0.000 0.000
0.000 5.243 0.000
0.000 0.000 5.243
Pd Cs Sb
3 1 1
Cartesian
0.000 0.000 2.621 Pd
2.621 0.000 0.000 Pd
0.000 2.621 0.000 Pd
0.000 0.000 0.000 Cs
2.621 2.621 2.621 Sb
```

Results
Calculated volume = 28.818 A^3/atom
N(E_F) = 5.0 states/eV per cell



Model 3:
Here is crystalline CsSbPd3 at its relaxed geometry from Alexandria. Energies are from PBE.

Geometry as POSCAR:
```
CsSbPd3
1.0
5.179 0.000 0.000
0.000 5.179 0.000
0.000 0.000 5.179
Sb Pd Cs
1 3 1
Cartesian
0.000 0.000 0.000 Sb
0.000 0.000 2.589 Pd
2.589 0.000 0.000 Pd
0.000 2.589 0.000 Pd
2.589 2.589 2.589 Cs
```

Results
Calculated volume = 27.779 A^3/atom
N(E_F) = 11.1 states/eV per cell



Unit: kJ/mol of atoms. Relative energies: model 1 0.0; model 2 149.3; model 3 29.4.



Model 1:
Here is crystalline Cs3SbPd at its relaxed geometry from Alexandria. Energies are from PBE.

Geometry as POSCAR:
```
Cs3SbPd
1.0
7.312 0.000 0.000
0.000 7.312 0.000
0.000 0.000 7.312
Pd Sb Cs
1 1 3
Cartesian
3.656 3.656 3.656 Pd
0.000 0.000 0.000 Sb
3.656 0.000 0.000 Cs
0.000 3.656 0.000 Cs
0.000 0.000 3.656 Cs
```

Results
Calculated volume = 78.190 A^3/atom
N(E_F) = 16.6 states/eV per cell



Model 2:
Here is crystalline Cs3SbPd at its relaxed geometry from Alexandria. Energies are from PBE.

Geometry as POSCAR:
```
Cs3SbPd
1.0
9.270 0.000 0.000
0.000 9.270 0.000
0.000 0.000 9.270
Sb Cs Pd
4 12 4
Cartesian
6.254 6.254 6.254 Sb
1.619 7.651 3.016 Sb
7.651 3.016 1.619 Sb
3.016 1.619 7.651 Sb
8.727 3.638 7.304 Cs
6.601 0.543 8.273 Cs
2.669 5.177 5.631 Cs
8.273 6.601 0.543 Cs
5.177 5.631 2.669 Cs
4.092 0.997 1.966 Cs
0.997 1.966 4.092 Cs
0.543 8.273 6.601 Cs
1.966 4.092 0.997 Cs
7.304 8.727 3.638 Cs
5.631 2.669 5.177 Cs
3.638 7.304 8.727 Cs
3.820 8.455 5.450 Pd
0.815 0.815 0.815 Pd
8.455 5.450 3.820 Pd
5.450 3.820 8.455 Pd
```

Results
Calculated volume = 39.827 A^3/atom
N(E_F) = 18.9 states/eV per cell



Unit: kJ/mol of atoms. Relative energies: model 1 32.2; model 2 0.0.



Model 1:
Here is crystalline CsSb2TePd at its relaxed geometry from Alexandria. Energies are from PBE.

Geometry as POSCAR:
```
CsSb2TePd
1.0
-2.710 -0.180 5.587
4.920 -3.023 2.289
2.690 5.502 1.482
Sb Cs Te Pd
2 1 1 1
Cartesian
-1.355 -0.090 2.793 Sb
2.460 -1.511 1.145 Sb
0.000 0.000 0.000 Cs
1.345 2.751 0.741 Te
2.451 1.149 4.679 Pd
```

Results
Calculated volume = 48.631 A^3/atom
N(E_F) = 8.2 states/eV per cell



Model 2:
Here is crystalline CsSb2TePd at its relaxed geometry from Alexandria. Energies are from PBE.

Geometry as POSCAR:
```
CsSb2TePd
1.0
5.325 0.000 0.000
0.000 5.325 0.000
0.000 0.000 5.859
Sb Te Pd Cs
2 1 1 1
Cartesian
2.663 0.000 0.000 Sb
0.000 2.663 0.000 Sb
0.000 0.000 2.930 Te
0.000 0.000 0.000 Pd
2.663 2.663 2.930 Cs
```

Results
Calculated volume = 33.232 A^3/atom
N(E_F) = 4.0 states/eV per cell



Unit: kJ/mol of atoms. Relative energies: model 1 170.7; model 2 0.0.



Model 1:
Here is crystalline CsScPd3 at its relaxed geometry from Alexandria. Energies are from PBE.

Geometry as POSCAR:
```
CsScPd3
1.0
5.222 0.000 0.000
0.000 5.222 0.000
0.000 0.000 5.222
Sc Pd Cs
1 3 1
Cartesian
2.611 2.611 2.611 Sc
2.611 0.000 0.000 Pd
0.000 0.000 2.611 Pd
0.000 2.611 0.000 Pd
0.000 0.000 0.000 Cs
```

Results
Calculated volume = 28.477 A^3/atom
N(E_F) = 2.5 states/eV per cell



Model 2:
Here is crystalline CsScPd3 at its relaxed geometry from Alexandria. Energies are from PBE.

Geometry as POSCAR:
```
CsScPd3
1.0
5.102 0.000 0.000
0.000 5.102 0.000
0.000 0.000 5.102
Cs Sc Pd
1 1 3
Cartesian
2.551 2.551 2.551 Cs
0.000 0.000 0.000 Sc
0.000 0.000 2.551 Pd
0.000 2.551 0.000 Pd
2.551 0.000 0.000 Pd
```

Results
Calculated volume = 26.556 A^3/atom
N(E_F) = 3.3 states/eV per cell



Unit: kJ/mol of atoms. Relative energies: model 1 105.7; model 2 0.0.



Model 1:
Here is crystalline Cs2PdSe8 at its relaxed geometry from Alexandria. Energies are from PBE.

Geometry as POSCAR:
```
Cs2PdSe8
1.0
-5.757 -6.272 -1.735
4.819 -0.991 -6.866
4.743 -5.444 -1.474
Se Cs Pd
8 2 1
Cartesian
4.758 -6.762 -3.592 Se
0.289 -9.936 -4.327 Se
3.076 -4.443 -7.387 Se
6.043 -5.460 -5.123 Se
-0.953 -5.945 -6.483 Se
3.516 -2.771 -5.748 Se
-2.238 -7.246 -4.952 Se
0.729 -8.264 -2.688 Se
2.113 -8.159 -6.945 Cs
1.692 -4.548 -3.130 Cs
0.000 0.000 0.000 Pd
```

Results
Calculated volume = 36.715 A^3/atom



Model 2:
Here is crystalline Cs2PdSe8 at its relaxed geometry from Alexandria. Energies are from PBE.

Geometry as POSCAR:
```
Cs2PdSe8
1.0
-7.971 9.097 -4.206
-5.279 -9.423 6.878
8.322 5.860 7.771
Pd Se Cs
4 32 8
Cartesian
-3.137 7.397 2.451 Pd
0.000 0.000 0.000 Pd
-6.625 -0.163 1.336 Pd
-1.791 -1.863 7.993 Pd
-5.764 2.196 8.351 Se
-2.473 3.440 2.805 Se
1.639 3.460 8.057 Se
-7.289 3.794 0.982 Se
-1.844 -4.334 7.921 Se
-2.575 6.359 4.622 Se
-6.784 6.893 -1.050 Se
-6.377 2.079 2.348 Se
-2.186 -1.780 5.554 Se
0.395 -0.083 2.439 Se
-5.513 5.612 8.043 Se
-2.977 0.341 4.837 Se
3.722 5.332 4.462 Se
-0.956 1.476 10.086 Se
1.409 1.717 9.653 Se
-1.928 0.603 8.103 Se
1.399 5.231 5.118 Se
-0.116 3.315 2.285 Se
-5.375 0.327 5.134 Se
2.808 -1.335 11.302 Se
-4.386 6.907 -1.347 Se
-1.206 -1.941 10.394 Se
-6.252 -1.206 3.546 Se
-3.510 8.441 0.241 Se
-5.227 -6.953 6.950 Se
1.134 6.736 6.936 Se
-3.385 5.156 1.439 Se
-2.850 11.378 1.905 Se
-2.839 7.864 6.441 Se
-3.079 9.634 3.501 Se
0.488 12.492 3.455 Se
-9.646 3.919 1.502 Se
-3.005 -2.197 1.934 Cs
0.563 8.780 3.863 Cs
-3.620 2.034 -0.598 Cs
-2.003 4.314 7.695 Cs
1.214 0.334 6.059 Cs
-6.142 5.200 4.385 Cs
-5.491 -3.246 6.580 Cs
-9.550 1.057 4.085 Cs
```

Results
Calculated volume = 36.346 A^3/atom



Unit: kJ/mol of atoms. Relative energies: model 1 2.9; model 2 0.0.



Model 1:
Here is crystalline CsSi2Pd at its relaxed geometry from Alexandria. Energies are from PBE.

Geometry as POSCAR:
```
CsSi2Pd
1.0
5.602 0.000 0.000
0.000 5.602 0.000
2.801 2.801 7.596
Cs Si Pd
2 4 2
Cartesian
0.000 0.000 0.000 Cs
5.602 2.801 3.798 Cs
4.202 5.602 5.697 Si
7.003 5.602 5.697 Si
2.801 4.202 1.899 Si
2.801 1.401 1.899 Si
2.801 5.602 3.798 Pd
2.801 2.801 0.000 Pd
```

Results
Calculated volume = 29.800 A^3/atom
N(E_F) = 4.7 states/eV per cell



Model 2:
Here is crystalline CsSi2Pd at its relaxed geometry from Alexandria. Energies are from PBE.

Geometry as POSCAR:
```
CsSi2Pd
1.0
0.000 3.526 3.526
3.526 0.000 3.526
3.526 3.526 0.000
Pd Si Cs
1 2 1
Cartesian
0.000 0.000 0.000 Pd
5.289 5.289 5.289 Si
1.763 1.763 1.763 Si
3.526 3.526 3.526 Cs
```

Results
Calculated volume = 21.924 A^3/atom
N(E_F) = 2.8 states/eV per cell



Model 3:
Here is crystalline CsSi2Pd at its relaxed geometry from Alexandria. Energies are from PBE.

Geometry as POSCAR:
```
CsSi2Pd
1.0
-0.282 0.034 4.189
-2.355 -2.865 1.969
5.403 -5.790 2.515
Si Pd Cs
2 1 1
Cartesian
2.718 -3.719 2.317 Si
0.048 -4.902 6.356 Si
1.383 -4.310 4.337 Pd
0.000 0.000 0.000 Cs
```

Results
Calculated volume = 30.335 A^3/atom
N(E_F) = 2.5 states/eV per cell



Unit: kJ/mol of atoms. Relative energies: model 1 6.6; model 2 83.5; model 3 0.0.



Model 1:
Here is crystalline CsTa2Pd at its relaxed geometry from Alexandria. Energies are from PBE.

Geometry as POSCAR:
```
CsTa2Pd
1.0
3.583 0.234 3.188
1.069 4.180 2.107
-0.969 0.658 4.657
Pd Cs Ta
1 1 2
Cartesian
0.000 0.000 0.000 Pd
1.842 2.536 4.976 Cs
2.763 3.804 7.464 Ta
0.921 1.268 2.488 Ta
```

Results
Calculated volume = 19.572 A^3/atom
N(E_F) = 5.0 states/eV per cell



Model 2:
Here is crystalline CsTa2Pd at its relaxed geometry from Alexandria. Energies are from PBE.

Geometry as POSCAR:
```
CsTa2Pd
1.0
-4.266 0.448 3.010
0.224 -5.123 1.079
3.365 -0.550 9.412
Ta Pd Cs
4 2 2
Cartesian
-0.730 -0.610 3.616 Ta
1.064 -3.447 8.863 Ta
-1.069 -3.222 10.367 Ta
-0.619 -3.171 4.157 Ta
-2.021 -2.338 2.045 Pd
0.784 -4.005 6.268 Pd
0.000 0.000 0.000 Cs
-1.461 -1.220 7.234 Cs
```

Results
Calculated volume = 31.922 A^3/atom
N(E_F) = 12.8 states/eV per cell



Unit: kJ/mol of atoms. Relative energies: model 1 0.0; model 2 9.8.



Model 1:
Here is crystalline CsTa2Pd2 at its relaxed geometry from Alexandria. Energies are from PBE.

Geometry as POSCAR:
```
CsTa2Pd2
1.0
4.906 0.000 0.000
0.000 4.906 0.000
2.453 2.453 4.944
Cs Ta Pd
1 2 2
Cartesian
0.000 0.000 0.000 Cs
4.906 4.906 3.563 Ta
2.453 2.453 1.381 Ta
4.906 2.453 2.472 Pd
2.453 4.906 2.472 Pd
```

Results
Calculated volume = 23.805 A^3/atom
N(E_F) = 3.5 states/eV per cell



Model 2:
Here is crystalline CsTa2Pd2 at its relaxed geometry from Alexandria. Energies are from PBE.

Geometry as POSCAR:
```
CsTa2Pd2
1.0
-7.911 -1.395 2.812
3.137 -3.798 6.941
0.040 2.580 1.393
Pd Cs Ta
4 2 4
Cartesian
-2.666 -2.800 8.346 Pd
-5.516 -1.126 5.331 Pd
0.782 -1.487 5.816 Pd
-2.068 0.186 2.801 Pd
-2.387 -2.597 4.877 Cs
0.000 0.000 0.000 Cs
-5.105 -3.563 6.746 Ta
-0.284 -3.914 7.254 Ta
-4.491 -1.280 2.499 Ta
0.330 -1.630 3.008 Ta
```

Results
Calculated volume = 21.244 A^3/atom
N(E_F) = 8.5 states/eV per cell



Unit: kJ/mol of atoms. Relative energies: model 1 25.4; model 2 0.0.



Model 1:
Here is crystalline Cs2TaPd2 at its relaxed geometry from Alexandria. Energies are from PBE.

Geometry as POSCAR:
```
Cs2TaPd2
1.0
-3.083 -8.197 -3.855
6.511 -4.836 5.077
-2.050 -0.322 2.323
Cs Pd Ta
4 4 2
Cartesian
1.391 -10.189 -0.183 Cs
2.038 -2.845 1.405 Cs
4.535 -7.281 2.994 Cs
-1.106 -5.753 -1.772 Cs
2.849 -4.928 3.920 Pd
-1.470 -8.427 -0.375 Pd
2.216 -9.701 2.701 Pd
-0.837 -3.654 0.844 Pd
0.000 0.000 0.000 Ta
1.714 -6.517 0.611 Ta
```

Results
Calculated volume = 28.519 A^3/atom
N(E_F) = 9.7 states/eV per cell



Model 2:
Here is crystalline Cs2TaPd2 at its relaxed geometry from Alexandria. Energies are from PBE.

Geometry as POSCAR:
```
Cs2TaPd2
1.0
-2.735 -2.405 0.338
2.213 -2.678 -1.145
3.086 -4.722 11.168
Cs Pd Ta
2 2 1
Cartesian
0.598 -3.101 2.566 Cs
1.966 -6.704 7.796 Cs
2.519 -4.971 4.810 Pd
0.045 -4.834 5.552 Pd
0.000 0.000 0.000 Ta
```

Results
Calculated volume = 32.757 A^3/atom
N(E_F) = 3.9 states/eV per cell



Unit: kJ/mol of atoms. Relative energies: model 1 20.9; model 2 0.0.